1.
CsSiF2 | PBE | relaxed

abc: 5.4238 5.4238 13.5704
angles: 90.00 90.00 90.00
Space group I-42d (No. 122)
Unique sites:
1 Cs 0.0000 0.0000 0.0000
2 Si 0.0000 0.0000 0.5000
3 F 0.0866 0.2500 0.6250

Properties
- Calculated volume: 399.2 Å³ per cell
- Excess energy over the best structure of this formula in the dataset: 323 meV per atom
- Energy relative to the elements, uncorrected: -1.382 eV/atom
- Total energy: -3.89 eV/atom

=====

2.
Cs3SiF8 | PBE | relaxed

abc: 8.6306 8.6306 7.7564
angles: 90.00 90.00 120.00
Space group P6_3mc (No. 186)
Unique sites:
1 Cs 0.1614 0.3229 0.0000
2 Si 0.3333 0.6667 0.4243
3 F 0.0000 0.0000 0.2490
4 F 0.1451 0.5725 0.2946
5 F 0.2382 0.4763 0.5482
6 F 0.3333 0.6667 0.8779

Properties
- Calculated volume: 500.3 Å³ per cell
- Energy relative to the elements, uncorrected: -2.757 eV/atom
- Total energy: -4.67 eV/atom